Record 1
## AcSnHg6 (PBE)

Data for AcSnHg6 after structural relaxation.

Lattice parameters (Å, degrees): 4.935 6.821 6.821 106.06 90.00 90.00
Positions (direct):
1 Ac 0.000 0.116 0.884
2 Sn 0.500 0.355 0.645
3 Hg 0.000 0.150 0.388
4 Hg 0.000 0.612 0.850
5 Hg 0.000 0.655 0.345
6 Hg 0.500 0.398 0.173
7 Hg 0.500 0.827 0.602
8 Hg 0.500 0.887 0.113

- Relative energy among the computed polymorphs: 30 meV/atom

***

Record 2
## Ba5Si2As (PBE)

Data for Ba5Si2As after structural relaxation.

Lattice parameters (Å, degrees): 8.597 8.597 10.101 115.19 115.19 90.00
Positions (direct):
1 Ba 0.534 0.678 0.711
2 Ba 0.822 0.966 0.289
3 Ba 0.000 0.000 0.000
4 Ba 0.500 0.500 0.000
5 Ba 0.178 0.034 0.711
6 Ba 0.678 0.178 0.711
7 Ba 0.034 0.534 0.711
8 Ba 0.322 0.822 0.289
9 Ba 0.966 0.466 0.289
10 Ba 0.466 0.322 0.289
11 Si 0.102 0.398 0.000
12 Si 0.602 0.102 0.000
13 Si 0.398 0.898 0.000
14 Si 0.898 0.602 0.000
15 As 0.750 0.750 0.500
16 As 0.250 0.250 0.500

- Uncorrected formation energy: -549 meV/atom

***

Record 3
## PuSnIr2 (PBE)

Data for PuSnIr2 after structural relaxation.

Lattice parameters (Å, degrees): 3.851 4.440 4.440 90.00 90.00 90.00
Positions (direct):
1 Ir 0.000 0.000 0.500
2 Ir 0.000 0.500 0.000
3 Sn 0.500 0.500 0.500
4 Pu 0.500 0.000 0.000

***

Record 4
## Ce5HgBi5 (PBE)

Data for Ce5HgBi5 after structural relaxation.

Lattice parameters (Å, degrees): 6.434 7.776 9.275 107.09 90.00 114.44
Positions (direct):
1 Ce 0.832 0.664 0.172
2 Ce 0.832 0.664 0.660
3 Ce 0.500 0.000 0.000
4 Ce 0.168 0.336 0.340
5 Ce 0.168 0.336 0.828
6 Hg 0.000 0.000 0.000
7 Bi 0.662 0.325 0.336
8 Bi 0.667 0.333 0.832
9 Bi 0.000 0.000 0.500
10 Bi 0.333 0.667 0.168
11 Bi 0.338 0.675 0.664

***

Computed values of N(E_F) (unit: states/eV/cell) for the preceding records, in sequence: 3.60; 4.20; 11.04; 28.09.
Computed values of final energy (unit: Ry/atom) for the preceding records, in sequence: -0.10404; -0.27104; -0.67935; -0.36166.